# 1
A geometry-optimized BaTlRe2Hg structure, computed with PBE-GGA.

Calculated values
Space-group type: P4/mmm
Density of states at the Fermi level (states/eV per atom): 0.897

Cell lengths 5.6294, 6.1652, 5.6294 Å; angles 90.00, 90.00, 90.00 degrees
Last column: nearest neighbours and their distance in Å.
Fractional coordinates of all 5 atoms:
Ba1 0.0000 0.0000 0.0000  4 Re 2.81, 2 Hg 3.08
Hg1 0.0000 0.5000 0.0000  2 Ba 3.08
Re1 0.5000 0.0000 0.0000  2 Ba 2.81
Tl1 0.5000 0.5000 0.5000  4 Hg 3.98, 8 Re 4.17
Re2 0.0000 0.0000 0.5000  2 Ba 2.81

# 2
A geometry-optimized Ba2ReHgW structure, computed with PBE-GGA.

Calculated values
Space-group type: P4/mmm
Density of states at the Fermi level (states/eV per atom): 1.274

Cell lengths 6.2873, 4.7499, 6.2873 Å; angles 90.00, 90.00, 90.00 degrees
Last column: nearest neighbours and their distance in Å.
Fractional coordinates of all 5 atoms:
Hg1 0.5000 0.5000 0.5000  8 Ba 3.94
Re1 0.0000 0.0000 0.0000  2 W 2.37
W1 0.0000 0.5000 0.0000  2 Re 2.37
Ba1 0.0000 0.0000 0.5000  2 Re 3.14
Ba2 0.5000 0.0000 0.0000  2 Re 3.14

| no. | VASP energy (eV per atom) |
| --- | --- |
| 1 | -3.2755 |
| 2 | -4.9477 |